# 1
A plane-wave DFT calculation with PBE was carried out for a geometry-optimized Tb5NdY6 structure.

Calculated values
Space group: No. 12

Unit cell a=6.1880 b=7.9995 c=7.9995 alpha=84.26 beta=97.49 gamma=97.49
Closest atoms and distances in Å follow each position.
Positions (direct):
Y 0.7501 0.9165 0.5826  5 Tb 3.56-3.58, 6 Y 3.57-3.58, 1 Nd 3.58
Y 0.2499 0.4174 0.0835  5 Tb 3.56-3.58, 6 Y 3.57-3.58, 1 Nd 3.58
Y 0.2508 0.7495 0.7495  5 Tb 3.57-3.58, 6 Y 3.57-3.58, 1 Nd 3.59
Y 0.7492 0.2505 0.2505  5 Tb 3.57-3.58, 6 Y 3.57-3.58, 1 Nd 3.59
Y 0.7501 0.5826 0.9165  5 Tb 3.56-3.58, 6 Y 3.57-3.58, 1 Nd 3.58
Y 0.2499 0.0835 0.4174  5 Tb 3.56-3.58, 6 Y 3.57-3.58, 1 Nd 3.58
Nd 0.0000 0.0000 0.0000  6 Y 3.58-3.59, 6 Tb 3.58-3.59
Tb 0.5000 0.8321 0.1679  6 Y 3.56-3.58, 4 Tb 3.56-3.60, 2 Nd 3.58
Tb 0.0000 0.6659 0.3341  5 Tb 3.56-3.57, 6 Y 3.57-3.58, 1 Nd 3.59
Tb 0.5000 0.5000 0.5000  6 Tb 3.56-3.57, 6 Y 3.57
Tb 0.0000 0.3341 0.6659  5 Tb 3.56-3.57, 6 Y 3.57-3.58, 1 Nd 3.59
Tb 0.5000 0.1679 0.8321  6 Y 3.56-3.58, 4 Tb 3.56-3.60, 2 Nd 3.58

***

# 2
A plane-wave DFT calculation with PBE was carried out for a geometry-optimized TbNd4Y7 structure.

Calculated values
Space group: No. 12

Unit cell a=5.9249 b=11.9651 c=6.7225 alpha=83.82 beta=63.85 gamma=75.66
Closest atoms and distances in Å follow each position.
Positions (direct):
Tb 0.0000 0.0000 0.0000  4 Y 2.96-3.15
Nd 0.6400 0.2245 0.4954  7 Y 3.39-3.76
Nd 0.3600 0.7755 0.5046  7 Y 3.39-3.76
Nd 0.7053 0.7062 0.8831  4 Y 3.27-3.64
Nd 0.2947 0.2938 0.1169  4 Y 3.27-3.64
Y 0.7927 0.9175 0.4970  1 Tb 3.15, 4 Y 3.18-3.53, 3 Nd 3.38-3.39
Y 0.2073 0.0825 0.5030  1 Tb 3.15, 4 Y 3.18-3.53, 3 Nd 3.38-3.39
Y 0.0340 0.6365 0.2955  4 Y 3.42-3.48, 3 Nd 3.60-3.64
Y 0.9660 0.3635 0.7045  4 Y 3.42-3.48, 3 Nd 3.60-3.64
Y 0.3536 0.5139 0.7789  2 Nd 3.27-3.46, 4 Y 3.38-3.47
Y 0.5000 0.0000 0.0000  2 Tb 2.96, 2 Y 3.18
Y 0.6464 0.4861 0.2211  2 Nd 3.27-3.46, 4 Y 3.38-3.47

***

# 3
A plane-wave DFT calculation with PBE was carried out for a geometry-optimized Tb4Nd11Y9 structure.

Calculated values
Space group: No. 65

Unit cell a=3.6904 b=15.4845 c=15.4845 alpha=113.07 beta=90.00 gamma=90.00
Closest atoms and distances in Å follow each position.
Positions (direct):
Tb 0.5000 0.5551 0.7580  6 Nd 3.32-3.42, 2 Y 3.53-3.54, 2 Tb 3.69
Tb 0.5000 0.4449 0.2420  6 Nd 3.32-3.42, 2 Y 3.53-3.54, 2 Tb 3.69
Tb 0.5000 0.7580 0.5551  6 Nd 3.32-3.42, 2 Y 3.53-3.54, 2 Tb 3.69
Tb 0.5000 0.2420 0.4449  6 Nd 3.32-3.42, 2 Y 3.53-3.54, 2 Tb 3.69
Nd 0.0000 0.5935 0.9557  2 Tb 3.42, 6 Y 3.57-3.73, 3 Nd 3.66-3.69
Nd 0.0000 0.4065 0.0443  2 Tb 3.42, 6 Y 3.57-3.73, 3 Nd 3.66-3.69
Nd 0.0000 0.9557 0.5935  2 Tb 3.42, 6 Y 3.57-3.73, 3 Nd 3.66-3.69
Nd 0.0000 0.0443 0.4065  2 Tb 3.42, 6 Y 3.57-3.73, 3 Nd 3.66-3.69
Nd 0.0000 0.6317 0.3683  4 Tb 3.34, 4 Y 3.65, 2 Nd 3.69
Nd 0.0000 0.3683 0.6317  4 Tb 3.34, 4 Y 3.65, 2 Nd 3.69
Nd 0.0000 0.8399 0.1601  4 Nd 3.69-3.89, 8 Y 3.75-3.77
Nd 0.0000 0.1601 0.8399  4 Nd 3.69-3.89, 8 Y 3.75-3.77
Nd 0.0000 0.0000 0.0000  8 Y 3.57, 2 Nd 3.69
Nd 0.0000 0.7073 0.7073  4 Tb 3.32, 2 Nd 3.69, 4 Y 3.70
Nd 0.0000 0.2927 0.2927  4 Tb 3.32, 2 Nd 3.69, 4 Y 3.70
Y 0.5000 0.6311 0.1649  3 Y 3.48-3.69, 1 Tb 3.53, 8 Nd 3.57-3.75
Y 0.5000 0.3689 0.8351  3 Y 3.48-3.69, 1 Tb 3.53, 8 Nd 3.57-3.75
Y 0.5000 0.1649 0.6311  3 Y 3.48-3.69, 1 Tb 3.53, 8 Nd 3.57-3.75
Y 0.5000 0.8351 0.3689  3 Y 3.48-3.69, 1 Tb 3.53, 8 Nd 3.57-3.75
Y 0.5000 0.7864 0.9324  1 Tb 3.54, 8 Nd 3.57-3.77, 3 Y 3.69-3.77
Y 0.5000 0.2136 0.0676  1 Tb 3.54, 8 Nd 3.57-3.77, 3 Y 3.69-3.77
Y 0.5000 0.9324 0.7864  1 Tb 3.54, 8 Nd 3.57-3.77, 3 Y 3.69-3.77
Y 0.5000 0.0676 0.2136  1 Tb 3.54, 8 Nd 3.57-3.77, 3 Y 3.69-3.77
Y 0.5000 0.5000 0.5000  2 Y 3.69, 4 Tb 3.74, 8 Nd 3.87-3.99

***

# 4
A plane-wave DFT calculation with PBE was carried out for a geometry-optimized Tb2Nd3Y3 structure.

Calculated values
Space group: No. 12

Unit cell a=5.7659 b=6.0644 c=8.8458 alpha=111.63 beta=109.02 gamma=90.00
Closest atoms and distances in Å follow each position.
Positions (direct):
Tb 0.7493 0.6805 0.4987  4 Nd 3.42-3.59, 4 Y 3.48-3.58, 2 Tb 3.63
Tb 0.2507 0.3195 0.5013  4 Nd 3.42-3.59, 4 Y 3.48-3.58, 2 Tb 3.63
Nd 0.3649 0.9260 0.7298  1 Nd 3.33, 4 Tb 3.42-3.59, 5 Y 3.58-3.72
Nd 0.5000 0.5000 0.0000  2 Nd 3.33, 4 Y 3.54
Nd 0.6351 0.0740 0.2702  1 Nd 3.33, 4 Tb 3.42-3.59, 5 Y 3.58-3.72
Y 0.8673 0.3163 0.7345  2 Y 3.45-3.87, 4 Tb 3.48-3.58, 5 Nd 3.54-3.72
Y 0.1327 0.6837 0.2655  2 Y 3.45-3.87, 4 Tb 3.48-3.58, 5 Nd 3.54-3.72
Y 0.0000 0.0000 0.0000  4 Y 3.45-3.87, 4 Nd 3.58

***

# 5
A plane-wave DFT calculation with PBE was carried out for a geometry-optimized Tb8NdY3 structure.

Calculated values
Space group: No. 121

Unit cell a=8.3798 b=8.3798 c=8.3798 alpha=94.48 beta=117.45 gamma=117.45
Closest atoms and distances in Å follow each position.
Positions (direct):
Tb 0.5007 0.2510 0.2510  1 Y 3.07, 1 Nd 3.08, 2 Tb 3.23-3.24
Tb 0.4993 0.7503 0.7503  1 Y 3.07, 1 Nd 3.08, 2 Tb 3.23-3.24
Tb 0.0000 0.7490 0.2497  1 Y 3.07, 1 Nd 3.08, 2 Tb 3.23-3.24
Tb 0.0000 0.2497 0.7490  1 Y 3.07, 1 Nd 3.08, 2 Tb 3.23-3.24
Tb 0.2511 0.3754 0.3754  3 Tb 3.09-3.24, 1 Nd 3.24, 3 Y 3.24-3.44
Tb 0.7489 0.1243 0.1243  3 Tb 3.09-3.24, 1 Nd 3.24, 3 Y 3.24-3.44
Tb 0.0000 0.6246 0.8757  3 Tb 3.09-3.24, 1 Nd 3.24, 3 Y 3.24-3.44
Tb 0.0000 0.8757 0.6246  3 Tb 3.09-3.24, 1 Nd 3.24, 3 Y 3.24-3.44
Nd 0.0000 0.0000 0.0000  8 Tb 3.08-3.24
Y 0.5000 0.7500 0.2500  4 Tb 3.44
Y 0.5000 0.2500 0.7500  4 Tb 3.44
Y 0.0000 0.5000 0.5000  8 Tb 3.07-3.24

***

# 6
A plane-wave DFT calculation with PBE was carried out for a geometry-optimized Tb6Nd5Y structure.

Calculated values
Space group: No. 71

Unit cell a=5.1161 b=10.1842 c=9.5602 alpha=122.17 beta=105.49 gamma=90.05
Closest atoms and distances in Å follow each position.
Positions (direct):
Y 0.0000 0.0000 0.0000  8 Tb 3.60, 4 Nd 3.61
Nd 0.6659 0.1659 0.3318  8 Tb 3.60-3.62, 2 Y 3.61, 2 Nd 3.62
Nd 0.3331 0.3331 0.6661  8 Tb 3.61-3.62, 4 Nd 3.62
Nd 0.0000 0.5000 0.0000  8 Tb 3.61-3.62, 4 Nd 3.62
Nd 0.6669 0.6669 0.3339  8 Tb 3.61-3.62, 4 Nd 3.62
Nd 0.3341 0.8341 0.6682  8 Tb 3.60-3.62, 2 Y 3.61, 2 Nd 3.62
Tb 0.8335 0.5840 0.6671  1 Y 3.60, 7 Nd 3.60-3.62, 4 Tb 3.62
Tb 0.8336 0.0831 0.6671  1 Y 3.60, 7 Nd 3.60-3.62, 4 Tb 3.62
Tb 0.5000 0.7508 0.0000  6 Nd 3.60-3.62, 2 Y 3.60, 4 Tb 3.62
Tb 0.5000 0.2492 0.0000  6 Nd 3.60-3.62, 2 Y 3.60, 4 Tb 3.62
Tb 0.1664 0.9169 0.3329  1 Y 3.60, 7 Nd 3.60-3.62, 4 Tb 3.62
Tb 0.1665 0.4160 0.3329  1 Y 3.60, 7 Nd 3.60-3.62, 4 Tb 3.62

***

Looking at Fermi-level density of states for the records above, in order, we have 1.5220; 1.7986; 1.3107; 1.7000; 1.5578; 1.3594 states/eV/atom.
Looking at DFT formation energy for the records above, in order, we have 0.02; 0.28; 0.05; 0.08; 0.65; 0.02 eV per atom.
Looking at E for the records above, in order, we have -66.5; -65.6; -128.0; -42.3; -53.5; -57.9 eV per formula unit.